Record 1
A relaxed CdPI2O crystal, computed with PBE.

Calculated values
Energy relative to the elements, uncorrected ... 112 meV per atom
E above lowest polymorph ... 283 meV per atom
VASP energy ... -2.765 eV/atom
Size of the total moment ... 0.07 μB/atom
ρ ... 3.6 g cm⁻³
Fermi-level density of states ... 0.40 states/eV/atom
Symmetry ... No. 123
Crystal system ... tetragonal

abc: 7.622 3.277 7.622
angles: 90.00 90.00 90.00
Atoms (fractional coordinates):
P1 0.000 0.500 0.000
O1 0.000 0.000 0.000
I1 0.000 0.000 0.500
I2 0.500 0.000 0.000
Cd1 0.500 0.500 0.500

***

Record 2
A relaxed TlAgAs2 crystal, computed with PBE.

Calculated values
E above lowest polymorph ... 192 meV per atom
VASP energy ... -3.310 eV/atom
Size of the total moment ... 0.00 μB/atom
ρ ... 8.4 g cm⁻³
E_form ... 0.32 eV per atom
Fermi-level density of states ... 0.51 states/eV/atom
Symmetry ... No. 35
Crystal system ... orthorhombic

abc: 3.158 3.158 9.906
angles: 90.00 90.00 112.41
Atoms (fractional coordinates):
As1 0.000 0.000 0.014
As2 0.500 0.500 0.204
Ag1 0.500 0.500 0.772
Tl1 0.000 0.000 0.511

***

Record 3
A relaxed InSbRu2 crystal, computed with PBE.

Calculated values
Energy relative to the elements, uncorrected ... 424 meV per atom
VASP energy ... -5.929 eV/atom
Size of the total moment ... 0.00 μB/atom
ρ ... 9.7 g cm⁻³
Fermi-level density of states ... 1.20 states/eV/atom
Symmetry ... No. 160
Crystal system ... trigonal

abc: 9.016 9.016 9.016
angles: 20.01 20.01 20.01
Atoms (fractional coordinates):
Ru1 0.253 0.253 0.253
Ru2 0.995 0.995 0.995
In1 0.741 0.741 0.741
Sb1 0.510 0.510 0.510

***

Record 4
A relaxed Tb5Y3Tm4 crystal, computed with PBE.

Calculated values
E above lowest polymorph ... 0 meV per atom
VASP energy ... -5.014 eV/atom
Size of the total moment ... 0.00 μB/atom
ρ ... 7.7 g cm⁻³
E_form ... 0.02 eV per atom
Fermi-level density of states ... 1.34 states/eV/atom
Symmetry ... No. 2
Crystal system ... triclinic

abc: 7.083 11.184 12.754
angles: 151.28 56.33 129.27
Atoms (fractional coordinates):
Tb1 0.667 0.332 0.166
Tb2 0.500 0.000 0.500
Tb3 0.251 0.497 0.998
Tb4 0.333 0.668 0.834
Tb5 0.749 0.503 0.002
Y1 0.586 0.169 0.334
Y2 0.000 0.000 0.500
Y3 0.414 0.831 0.666
Tm1 0.166 0.333 0.166
Tm2 0.916 0.833 0.668
Tm3 0.834 0.667 0.834
Tm4 0.084 0.167 0.332

***

Record 5
A relaxed LiNdSbPd crystal, computed with PBE.

Calculated values
Energy relative to the elements, uncorrected ... -723 meV per atom
VASP energy ... -4.722 eV/atom
Size of the total moment ... 0.00 μB/atom
ρ ... 7.6 g cm⁻³
Fermi-level density of states ... 0.52 states/eV/atom
Symmetry ... No. 216
Crystal system ... cubic

abc: 4.886 4.886 4.886
angles: 60.00 60.00 60.00
Atoms (fractional coordinates):
Pd1 0.500 0.500 0.500
Nd1 0.750 0.750 0.750
Sb1 0.250 0.250 0.250
Li1 0.000 0.000 0.000

***

Record 6
A relaxed Sm2HoPuN4 crystal, computed with PBE.

Calculated values
Energy relative to the elements, uncorrected ... -1486 meV per atom
VASP energy ... -9.192 eV/atom
Size of the total moment ... 0.58 μB/atom
ρ ... 10.3 g cm⁻³
Fermi-level density of states ... 0.91 states/eV/atom
Symmetry ... No. 10
Crystal system ... monoclinic

abc: 3.525 6.072 6.089
angles: 109.28 90.00 90.00
Atoms (fractional coordinates):
Ho1 0.500 0.500 0.000
Sm1 0.000 0.500 0.500
Sm2 0.500 0.000 0.500
N1 0.500 0.240 0.233
N2 0.000 0.751 0.236
N3 0.000 0.249 0.764
N4 0.500 0.760 0.767
Pu1 0.000 0.000 0.000